Material: PmTm2Tl3Se6
Method: DFT, PBE
State: relaxed

Output
- Mass density: 7.35 g/cm3
- Final energy: -4.850 eV/atom
- Symmetry: C2/m (12)

a = 7.2562 Å, b = 7.2562 Å, c = 8.1410 Å
α = 98.55°, β = 98.55°, γ = 119.98°
Fractional coordinates of all 12 atoms:
Pm  0.0000  0.0000  0.0000
Tm  0.3332  0.6668  0.0000
Tm  0.6668  0.3332  0.0000
Tl  0.1645  0.8355  0.5000
Tl  0.5000  0.5000  0.5000
Tl  0.8355  0.1645  0.5000
Se  0.0682  0.4114  0.2046
Se  0.2756  0.2756  0.7975
Se  0.4114  0.0682  0.2046
Se  0.5886  0.9318  0.7954
Se  0.7244  0.7244  0.2025
Se  0.9318  0.5886  0.7954